# 1
Crystalline ReTe2IrI at its relaxed geometry. Source: Alexandria via LeMat-Bulk, functional GGA-PBE.

Values from the calculation:
The magnetic moment is 4.0 μB/f.u. As for the calculated total energy: -4.3344 eV/atom. As for the formation energy (no corrections): 1494.1 meV per atom. As for the space-group type: No. 123.

abc: 5.249 5.249 5.373
angles: 90.00 90.00 90.00
Each line ends with the local moment (μB).
Atoms (fractional coordinates):
Ir 0.000 0.000 0.000  -0.22
Te 0.000 0.500 0.000  -0.16
Te 0.500 0.000 0.000  -0.16
I 0.000 0.000 0.500  0.09
Re 0.500 0.500 0.500  3.82

# 2
Crystalline Be3SiC at its relaxed geometry. Source: Alexandria via LeMat-Bulk, functional GGA-PBE.

Values from the calculation:
The magnetic moment is 0.0 μB/f.u. As for the calculated total energy: -4.7344 eV/atom. As for the formation energy (no corrections): 430.7 meV per atom. As for the space-group type: No. 221.

abc: 3.623 3.623 3.623
angles: 90.00 90.00 90.00
Atoms (fractional coordinates):
Be 0.000 0.500 0.000
Be 0.500 0.000 0.000
Be 0.000 0.000 0.500
C 0.000 0.000 0.000
Si 0.500 0.500 0.500

# 3
Crystalline CS at its relaxed geometry. Source: Alexandria via LeMat-Bulk, functional GGA-PBE.

Values from the calculation:
The magnetic moment is 0.0 μB/f.u. As for the calculated total energy: -5.2353 eV/atom. As for the formation energy (no corrections): 1440.3 meV per atom. As for the space-group type: No. 156.

abc: 2.820 2.820 4.497
angles: 90.00 90.00 120.00
Atoms (fractional coordinates):
C 0.667 0.333 0.673
S 0.000 0.000 0.468

Q: What is the magnetic moment in the second record?
A: 0.0 μB/f.u.

Please write out number 3 again, unchanged.
Crystalline CS at its relaxed geometry. Source: Alexandria via LeMat-Bulk, functional GGA-PBE.

Values from the calculation:
The magnetic moment is 0.0 μB/f.u. As for the calculated total energy: -5.2353 eV/atom. As for the formation energy (no corrections): 1440.3 meV per atom. As for the space-group type: No. 156.

abc: 2.820 2.820 4.497
angles: 90.00 90.00 120.00
Atoms (fractional coordinates):
C 0.667 0.333 0.673
S 0.000 0.000 0.468